# ErTm4, optimized geometry, DFT PBE-GGA
data_ErTm4
_cell_length_a 6.036
_cell_length_b 3.491
_cell_length_c 14.326
_cell_angle_alpha 90.00
_cell_angle_beta 97.91
_cell_angle_gamma 90.00
_space_group_name_H-M_alt 'C 1 2/m 1'
_space_group_IT_number 12
loop_
_space_group_symop_operation_xyz
'x,y,z'
'-x,-y,-z'
'-x,y,-z'
'x,-y,z'
'x+1/2,y+1/2,z'
'-x+1/2,-y+1/2,-z'
'-x+1/2,y+1/2,-z'
'x+1/2,-y+1/2,z'
loop_
_atom_site_label
_atom_site_type_symbol
_atom_site_fract_x
_atom_site_fract_y
_atom_site_fract_z
_atom_site_occupancy
Er1 Er 0.000 0.000 0.000 1
Tm1 Tm 0.101 0.500 0.799 1
Tm2 Tm 0.200 0.000 0.600 1
# relative energy among the computed polymorphs = 0.000 eV/atom

# Er2Tm7, optimized geometry, DFT PBE-GGA
data_Er2Tm7
_cell_length_a 6.0371
_cell_length_b 6.0371
_cell_length_c 8.5522
_cell_angle_alpha 90.00
_cell_angle_beta 90.00
_cell_angle_gamma 120.00
_space_group_name_H-M_alt 'P -3 1 m'
_space_group_IT_number 162
_space_group_name_Hall '-P 3 2'
loop_
_atom_site_label
_atom_site_type_symbol
_atom_site_fract_x
_atom_site_fract_y
_atom_site_fract_z
_atom_site_occupancy
Er1 Er 0.3333 0.6667 0.0000 1
Tm1 Tm 0.0000 0.0000 0.0000 1
Tm2 Tm 0.0000 0.3332 0.6663 1
# relative energy among the computed polymorphs = 0.000 eV/atom

# ErTm3, optimized geometry, DFT PBE-GGA
data_ErTm3
_cell_length_a 7.1191
_cell_length_b 7.1191
_cell_length_c 5.5301
_cell_angle_alpha 90.00
_cell_angle_beta 90.00
_cell_angle_gamma 120.00
_space_group_name_H-M_alt 'P 63/m m c'
_space_group_IT_number 194
_space_group_name_Hall '-P 6c 2c'
loop_
_atom_site_label
_atom_site_type_symbol
_atom_site_fract_x
_atom_site_fract_y
_atom_site_fract_z
_atom_site_occupancy
Er1 Er 0.3333 0.6667 0.2500 1
Tm1 Tm 0.1666 0.3332 0.7500 1
# relative energy among the computed polymorphs = 0.005 eV/atom

# ErTm3, optimized geometry, DFT PBE-GGA
data_ErTm3
_cell_length_a 7.880
_cell_length_b 7.880
_cell_length_c 7.880
_cell_angle_alpha 90.00
_cell_angle_beta 90.00
_cell_angle_gamma 90.00
_space_group_name_H-M_alt 'F m -3 m'
_space_group_IT_number 225
_space_group_name_Hall '-F 4 2 3'
loop_
_atom_site_label
_atom_site_type_symbol
_atom_site_fract_x
_atom_site_fract_y
_atom_site_fract_z
_atom_site_occupancy
Er1 Er 0.000 0.000 0.000 1
Tm1 Tm 0.000 0.000 0.500 1
Tm2 Tm 0.250 0.250 0.250 1
# relative energy among the computed polymorphs = 0.146 eV/atom

# ErTm3, optimized geometry, DFT PBE-GGA
data_ErTm3
_cell_length_a 3.563
_cell_length_b 11.048
_cell_length_c 6.163
_cell_angle_alpha 90.00
_cell_angle_beta 90.00
_cell_angle_gamma 90.00
_space_group_name_H-M_alt 'I m m 2'
_space_group_IT_number 44
loop_
_space_group_symop_operation_xyz
'x,y,z'
'-x,-y,z'
'-x,y,z'
'x,-y,z'
'x+1/2,y+1/2,z+1/2'
'-x+1/2,-y+1/2,z+1/2'
'-x+1/2,y+1/2,z+1/2'
'x+1/2,-y+1/2,z+1/2'
loop_
_atom_site_label
_atom_site_type_symbol
_atom_site_fract_x
_atom_site_fract_y
_atom_site_fract_z
_atom_site_occupancy
Er1 Er 0.000 0.000 0.000 1
Tm1 Tm 0.000 0.250 0.667 1
Tm2 Tm 0.000 0.500 0.000 1
# relative energy among the computed polymorphs = 0.001 eV/atom

# Er7Tm2, optimized geometry, DFT PBE-GGA
data_Er7Tm2
_cell_length_a 9.5121
_cell_length_b 9.5121
_cell_length_c 3.5108
_cell_angle_alpha 90.00
_cell_angle_beta 90.00
_cell_angle_gamma 120.00
_space_group_name_H-M_alt 'P -6 2 m'
_space_group_IT_number 189
_space_group_name_Hall 'P -6 -2'
loop_
_atom_site_label
_atom_site_type_symbol
_atom_site_fract_x
_atom_site_fract_y
_atom_site_fract_z
_atom_site_occupancy
Er1 Er 0.0000 0.0000 0.0000 1
Er2 Er 0.0000 0.3626 0.0000 1
Er3 Er 0.0000 0.6954 0.5000 1
Tm1 Tm 0.3333 0.6667 0.5000 1
# relative energy among the computed polymorphs = 0.010 eV/atom

Q: Which D(E_F) values were calculated for the entries above? A: 1.520, 1.526, 1.981, 2.544, 1.607, 1.897, in states/eV/atom.
Q: Which calculated formation energy values were calculated for the entries above? A: 0.14, 0.27, 0.00, 0.56, -0.02, 0.35, in eV per formula unit.
Q: Which total magnetic moment values were calculated for the entries above? A: 0.0000, 0.0000, 0.0026, 0.1073, 0.0000, 0.2309, in μB/atom.